# 1
This record from Alexandria describes a geometry-optimized Zn3Ag structure. The functional is PBEsol.

E_form = 0.01 eV/atom
Total energy = -1.999 eV/atom
Density of states at the Fermi level = 0.3613 states/eV per atom

Cell lengths 4.924, 4.924, 4.924 Å; angles 90.00, 90.00, 90.00 degrees
Sites, in units of the cell vectors:
Zn: 0.000 0.250 0.500
Zn: 0.000 0.750 0.500
Zn: 0.250 0.500 0.000
Zn: 0.500 0.000 0.250
Zn: 0.500 0.000 0.750
Zn: 0.750 0.500 0.000
Ag: 0.000 0.000 0.000
Ag: 0.500 0.500 0.500

# 2
This record from Alexandria describes a geometry-optimized KCrPt structure. The functional is PBEsol.

E_form = 0.41 eV/atom
Total energy = -5.708 eV/atom
Density of states at the Fermi level = 0.8161 states/eV per atom
Excess energy over the best structure of this formula in the dataset = 0.00 eV/f.u.

Cell lengths 6.376, 6.376, 6.376 Å; angles 154.17, 142.80, 45.84 degrees
Sites, in units of the cell vectors:
K: 0.000 0.000 0.000
Cr: 0.270 0.270 0.000
Pt: 0.719 0.719 0.000

# 3
This record from Alexandria describes a geometry-optimized MnFeSiO4 structure. The functional is PBEsol.

Total energy = -8.219 eV/atom
Density of states at the Fermi level = 0.5207 states/eV per atom
Uncorrected formation energy = -1.7234 eV/atom

Cell lengths 10.271, 6.135, 4.881 Å; angles 90.00, 90.00, 90.00 degrees
Sites, in units of the cell vectors:
Mn: 0.000 0.000 0.000
Mn: 0.000 0.500 0.000
Mn: 0.500 0.000 0.500
Mn: 0.500 0.500 0.500
Fe: 0.221 0.250 0.488
Fe: 0.279 0.750 0.988
Fe: 0.721 0.250 0.012
Fe: 0.779 0.750 0.512
Si: 0.102 0.750 0.434
Si: 0.398 0.250 0.934
Si: 0.602 0.750 0.066
Si: 0.898 0.250 0.566
O: 0.047 0.250 0.703
O: 0.097 0.750 0.768
O: 0.172 0.536 0.292
O: 0.172 0.964 0.292
O: 0.328 0.036 0.792
O: 0.328 0.464 0.792
O: 0.403 0.250 0.268
O: 0.453 0.750 0.203
O: 0.547 0.250 0.797
O: 0.597 0.750 0.732
O: 0.672 0.536 0.208
O: 0.672 0.964 0.208
O: 0.828 0.036 0.708
O: 0.828 0.464 0.708
O: 0.903 0.250 0.232
O: 0.953 0.750 0.297

# 4
This record from Alexandria describes a geometry-optimized TlInBr3 structure. The functional is PBEsol.

Total energy = -2.916 eV/atom
Density of states at the Fermi level = 0.1996 states/eV per atom
Uncorrected formation energy = -0.6714 eV/atom

Cell lengths 5.548, 5.548, 5.548 Å; angles 90.00, 90.00, 90.00 degrees
Sites, in units of the cell vectors:
Tl: 0.000 0.000 0.000
In: 0.500 0.500 0.500
Br: 0.000 0.500 0.500
Br: 0.500 0.000 0.500
Br: 0.500 0.500 0.000

# 5
This record from Alexandria describes a geometry-optimized InSiPOs2 structure. The functional is PBEsol.

Total energy = -6.610 eV/atom
Density of states at the Fermi level = 0.4226 states/eV per atom
Uncorrected formation energy = 1.1807 eV/atom

Cell lengths 4.353, 4.353, 4.947 Å; angles 90.00, 90.00, 90.00 degrees
Sites, in units of the cell vectors:
In: 0.000 0.000 0.000
Si: 0.500 0.500 0.000
P: 0.000 0.000 0.500
Os: 0.000 0.500 0.500
Os: 0.500 0.000 0.500

# 6
This record from Alexandria describes a geometry-optimized Sb2PtBr structure. The functional is PBEsol.

Total energy = -4.681 eV/atom
Density of states at the Fermi level = 0.3649 states/eV per atom
Uncorrected formation energy = -0.1943 eV/atom
Excess energy over the best structure of this formula in the dataset = 0.00 eV/f.u.

Cell lengths 3.356, 3.356, 8.033 Å; angles 90.00, 90.00, 90.00 degrees
Sites, in units of the cell vectors:
Sb: 0.000 0.000 0.203
Sb: 0.000 0.000 0.797
Pt: 0.500 0.500 0.000
Br: 0.500 0.500 0.500

# 7
This record from Alexandria describes a geometry-optimized FeAgPd2W structure. The functional is PBEsol.

E_form = 1.21 eV/atom
Total energy = -6.385 eV/atom
Density of states at the Fermi level = 1.0860 states/eV per atom

Cell lengths 4.553, 4.553, 4.255 Å; angles 90.00, 90.00, 90.00 degrees
Sites, in units of the cell vectors:
Fe: 0.000 0.000 0.000
Ag: 0.500 0.500 0.500
Pd: 0.000 0.500 0.000
Pd: 0.500 0.000 0.000
W: 0.000 0.000 0.500

# 8
This record from Alexandria describes a geometry-optimized Hg2MoF structure. The functional is PBEsol.

Total energy = -3.380 eV/atom
Density of states at the Fermi level = 0.6180 states/eV per atom
Uncorrected formation energy = 0.3269 eV/atom

Cell lengths 4.645, 4.645, 4.645 Å; angles 60.00, 60.00, 60.00 degrees
Sites, in units of the cell vectors:
Hg: 0.250 0.250 0.250
Hg: 0.750 0.750 0.750
Mo: 0.000 0.000 0.000
F: 0.500 0.500 0.500

# 9
This record from Alexandria describes a geometry-optimized LiCaRu2 structure. The functional is PBEsol.

E_form = 0.42 eV/atom
Total energy = -5.690 eV/atom
Density of states at the Fermi level = 1.0042 states/eV per atom
Excess energy over the best structure of this formula in the dataset = 0.49 eV/f.u.

Cell lengths 5.393, 5.393, 5.393 Å; angles 148.71, 130.54, 59.70 degrees
Sites, in units of the cell vectors:
Li: 0.000 0.000 0.000
Ca: 0.500 0.500 0.000
Ru: 0.237 0.737 0.500
Ru: 0.763 0.263 0.500

# 10
This record from Alexandria describes a geometry-optimized HfGaPdS2 structure. The functional is PBEsol.

Total energy = -5.492 eV/atom
Density of states at the Fermi level = 0.6634 states/eV per atom
Uncorrected formation energy = 0.2224 eV/atom

Cell lengths 4.527, 4.527, 4.586 Å; angles 90.00, 90.00, 90.00 degrees
Sites, in units of the cell vectors:
Hf: 0.000 0.000 0.000
Ga: 0.500 0.500 0.500
Pd: 0.500 0.500 0.000
S: 0.000 0.500 0.500
S: 0.500 0.000 0.500

# 11
This record from Alexandria describes a geometry-optimized HgSb2Pt structure. The functional is PBEsol.

Total energy = -4.241 eV/atom
Density of states at the Fermi level = 0.3754 states/eV per atom
Uncorrected formation energy = -0.0802 eV/atom

Cell lengths 3.239, 3.239, 8.666 Å; angles 90.00, 90.00, 90.00 degrees
Sites, in units of the cell vectors:
Hg: 0.000 0.000 0.000
Sb: 0.500 0.500 0.300
Sb: 0.500 0.500 0.700
Pt: 0.000 0.000 0.500

# 12
This record from Alexandria describes a geometry-optimized Sc2FeSnB structure. The functional is PBEsol.

E_form = 0.20 eV/atom
Total energy = -6.487 eV/atom
Density of states at the Fermi level = 1.0381 states/eV per atom

Cell lengths 4.552, 4.552, 4.306 Å; angles 90.00, 90.00, 90.00 degrees
Sites, in units of the cell vectors:
Sc: 0.000 0.500 0.000
Sc: 0.500 0.000 0.000
Fe: 0.000 0.000 0.500
Sn: 0.500 0.500 0.500
B: 0.500 0.500 0.000

# 13
This record from Alexandria describes a geometry-optimized NbAg2AuBr structure. The functional is PBEsol.

Total energy = -3.499 eV/atom
Density of states at the Fermi level = 0.6688 states/eV per atom
Uncorrected formation energy = 1.1484 eV/atom

Cell lengths 5.175, 5.175, 4.778 Å; angles 90.00, 90.00, 90.00 degrees
Sites, in units of the cell vectors:
Nb: 0.000 0.000 0.000
Ag: 0.000 0.500 0.000
Ag: 0.500 0.000 0.000
Au: 0.500 0.500 0.500
Br: 0.000 0.000 0.500

# 14
This record from Alexandria describes a geometry-optimized SrCdCl3 structure. The functional is PBEsol.

Total energy = -3.024 eV/atom
Density of states at the Fermi level = 0.2686 states/eV per atom
Uncorrected formation energy = -1.2122 eV/atom

Cell lengths 5.239, 5.239, 5.239 Å; angles 90.00, 90.00, 90.00 degrees
Sites, in units of the cell vectors:
Sr: 0.000 0.000 0.000
Cd: 0.500 0.500 0.500
Cl: 0.000 0.500 0.500
Cl: 0.500 0.000 0.500
Cl: 0.500 0.500 0.000

# 15
This record from Alexandria describes a geometry-optimized BeReHg2 structure. The functional is PBEsol.

E_form = 0.89 eV/atom
Total energy = -3.730 eV/atom
Density of states at the Fermi level = 1.0710 states/eV per atom

Cell lengths 5.081, 5.081, 5.081 Å; angles 134.80, 134.80, 65.84 degrees
Sites, in units of the cell vectors:
Be: 0.000 0.000 0.000
Re: 0.250 0.750 0.500
Hg: 0.500 0.500 0.000
Hg: 0.750 0.250 0.500

# 16
This record from Alexandria describes a geometry-optimized LuPO4 structure. The functional is PBEsol.

Total energy = -8.391 eV/atom
Density of states at the Fermi level = 0.0000 states/eV per atom
Uncorrected formation energy = -3.1142 eV/atom
Excess energy over the best structure of this formula in the dataset = 0.00 eV/f.u.

Cell lengths 5.607, 5.607, 5.607 Å; angles 106.09, 106.09, 116.48 degrees
Sites, in units of the cell vectors:
Lu: 0.375 0.625 0.750
Lu: 0.625 0.375 0.250
P: 0.125 0.875 0.250
P: 0.875 0.125 0.750
O: 0.138 0.710 0.428
O: 0.218 0.290 0.928
O: 0.290 0.218 0.428
O: 0.290 0.862 0.072
O: 0.710 0.138 0.928
O: 0.710 0.782 0.572
O: 0.782 0.710 0.072
O: 0.862 0.290 0.572

# 17
This record from Alexandria describes a geometry-optimized LaGaNiH2 structure. The functional is PBEsol.

Total energy = -3.968 eV/atom
Density of states at the Fermi level = 0.2781 states/eV per atom

Cell lengths 4.133, 4.133, 5.092 Å; angles 90.00, 90.00, 90.00 degrees
Sites, in units of the cell vectors:
La: 0.000 0.000 0.000
Ga: 0.500 0.500 0.500
Ni: 0.000 0.000 0.500
H: 0.000 0.500 0.000
H: 0.500 0.000 0.000

# 18
This record from Alexandria describes a geometry-optimized LiAlRu structure. The functional is PBEsol.

E_form = -0.14 eV/atom
Total energy = -5.553 eV/atom
Density of states at the Fermi level = 0.6700 states/eV per atom

Cell lengths 4.542, 4.542, 4.542 Å; angles 139.67, 139.67, 58.35 degrees
Sites, in units of the cell vectors:
Li: 0.000 0.000 0.000
Al: 0.320 0.320 0.000
Ru: 0.665 0.665 0.000

# 19
This record from Alexandria describes a geometry-optimized TaReTe2N structure. The functional is PBEsol.

Total energy = -6.188 eV/atom
Density of states at the Fermi level = 1.0850 states/eV per atom
Uncorrected formation energy = 2.1044 eV/atom

Cell lengths 5.065, 5.065, 5.007 Å; angles 90.00, 90.00, 90.00 degrees
Sites, in units of the cell vectors:
Ta: 0.000 0.000 0.000
Re: 0.000 0.000 0.500
Te: 0.000 0.500 0.500
Te: 0.500 0.000 0.500
N: 0.500 0.500 0.000

# 20
This record from Alexandria describes a geometry-optimized RuBrN2F structure. The functional is PBEsol.

Total energy = -4.086 eV/atom
Density of states at the Fermi level = 0.9723 states/eV per atom
Uncorrected formation energy = 2.1183 eV/atom
Excess energy over the best structure of this formula in the dataset = 0.00 eV/f.u.

Cell lengths 3.896, 3.896, 4.223 Å; angles 90.00, 90.00, 90.00 degrees
Sites, in units of the cell vectors:
Ru: 0.000 0.000 0.000
Br: 0.500 0.500 0.500
N: 0.000 0.500 0.500
N: 0.500 0.000 0.500
F: 0.500 0.500 0.000